1.
Computed, not measured: a relaxed Ba2InCuH crystal at the PBE level of DFT.

## Properties
Density ... 5.4 g/cm³
DFT total energy ... -14.97 eV for the cell shown
Space group ... P4/mmm (123)

Cell: 5.874 5.874 4.035 Å, 90.00 90.00 90.00°
Fractional positions:
Ba1 0.000 0.500 0.000
Ba2 0.500 0.000 0.000
In1 0.000 0.000 0.500
Cu1 0.500 0.500 0.500
H1 0.500 0.500 0.000

=====

2.
Computed, not measured: a relaxed Ba2InCuH6 crystal at the PBE level of DFT.

## Properties
Density ... 5.3 g/cm³
DFT total energy ... -32.56 eV for the cell shown
Space group ... C2/m (12)

Cell: 5.912 5.912 5.794 Å, 119.14 119.14 91.53°
Fractional positions:
Ba1 0.249 0.751 0.000
Ba2 0.751 0.249 0.000
In1 0.500 0.500 0.500
Cu1 0.000 0.000 0.500
H1 0.206 0.794 0.500
H2 0.207 0.207 0.920
H3 0.209 0.209 0.498
H4 0.791 0.791 0.502
H5 0.793 0.793 0.080
H6 0.794 0.206 0.500

=====

3.
Computed, not measured: a relaxed Ba2CuH6Ir crystal at the PBE level of DFT.

## Properties
Density ... 6.5 g/cm³
DFT total energy ... -41.23 eV for the cell shown
Space group ... I4mm (107)

Cell: 5.787 5.787 5.787 Å, 119.93 119.93 90.12°
Fractional positions:
Ba1 0.000 0.500 0.500
Ba2 0.500 0.000 0.500
Cu1 0.250 0.250 0.000
H1 0.539 0.539 0.000
H2 0.540 0.540 0.580
H3 0.540 0.960 0.000
H4 0.960 0.540 0.000
H5 0.960 0.960 0.000
H6 0.960 0.960 0.420
Ir1 0.750 0.750 0.000

=====

4.
Computed, not measured: a relaxed BaCuH6Ir crystal at the PBE level of DFT.

## Properties
Density ... 6.2 g/cm³
DFT total energy ... -37.72 eV for the cell shown
Space group ... P312 (149)

Cell: 4.880 4.880 5.169 Å, 90.00 90.00 120.00°
Fractional positions:
Ba1 0.000 0.000 0.000
Cu1 0.333 0.667 0.500
H1 0.408 0.024 0.684
H2 0.408 0.383 0.316
H3 0.617 0.024 0.316
H4 0.617 0.592 0.684
H5 0.976 0.383 0.684
H6 0.976 0.592 0.316
Ir1 0.667 0.333 0.500

=====

5.
Computed, not measured: a relaxed BaCuH8Ir2 crystal at the PBE level of DFT.

## Properties
Density ... 7.9 g/cm³
DFT total energy ... -52.10 eV for the cell shown
Space group ... R-3 (148)

Cell: 6.862 6.862 6.862 Å, 40.80 40.80 40.80°
Fractional positions:
Ba1 0.000 0.000 0.000
Cu1 0.500 0.500 0.500
H1 0.122 0.821 0.421
H2 0.179 0.579 0.878
H3 0.290 0.290 0.290
H4 0.421 0.122 0.821
H5 0.579 0.878 0.179
H6 0.710 0.710 0.710
H7 0.821 0.421 0.122
H8 0.878 0.179 0.579
Ir1 0.202 0.202 0.202
Ir2 0.798 0.798 0.798

=====

6.
Computed, not measured: a relaxed KBa2Cu2H6 crystal at the PBE level of DFT.

## Properties
Density ... 3.8 g/cm³
DFT total energy ... -36.11 eV for the cell shown
Space group ... R-3m (166)

Cell: 7.701 7.701 7.701 Å, 43.09 43.09 43.09°
Fractional positions:
K1 0.000 0.000 0.000
Ba1 0.215 0.215 0.215
Ba2 0.785 0.785 0.785
Cu1 0.435 0.435 0.435
Cu2 0.565 0.565 0.565
H1 0.232 0.729 0.729
H2 0.271 0.271 0.768
H3 0.271 0.768 0.271
H4 0.729 0.232 0.729
H5 0.729 0.729 0.232
H6 0.768 0.271 0.271

=====

7.
Computed, not measured: a relaxed BaLaCu2H6 crystal at the PBE level of DFT.

## Properties
Density ... 4.7 g/cm³
DFT total energy ... -76.45 eV for the cell shown
Space group ... C2/c (15)

Cell: 6.717 6.717 7.265 Å, 106.54 106.54 98.60°
Fractional positions:
Ba1 0.143 0.857 0.750
Ba2 0.857 0.143 0.250
La1 0.400 0.600 0.250
La2 0.600 0.400 0.750
Cu1 0.137 0.368 0.757
Cu2 0.368 0.137 0.257
Cu3 0.632 0.863 0.743
Cu4 0.863 0.632 0.243
H1 0.085 0.581 0.344
H2 0.186 0.219 0.113
H3 0.219 0.186 0.613
H4 0.351 0.562 0.901
H5 0.419 0.915 0.156
H6 0.438 0.649 0.599
H7 0.562 0.351 0.401
H8 0.581 0.085 0.844
H9 0.649 0.438 0.099
H10 0.781 0.814 0.387
H11 0.814 0.781 0.887
H12 0.915 0.419 0.656

=====

8.
Computed, not measured: a relaxed Ba2LiCuH6 crystal at the PBE level of DFT.

## Properties
Density ... 4.6 g/cm³
DFT total energy ... -34.00 eV for the cell shown
Space group ... I4/mmm (139)

Cell: 5.632 5.632 5.632 Å, 120.00 120.00 89.99°
Fractional positions:
Ba1 0.250 0.750 0.500
Ba2 0.750 0.250 0.500
Li1 0.000 0.000 0.000
Cu1 0.500 0.500 0.000
H1 0.262 0.262 0.000
H2 0.263 0.263 0.527
H3 0.263 0.737 0.000
H4 0.737 0.263 0.000
H5 0.737 0.737 0.473
H6 0.738 0.738 0.000

=====

9.
Computed, not measured: a relaxed Ba2LiCuH crystal at the PBE level of DFT.

## Properties
Density ... 4.2 g/cm³
DFT total energy ... -13.21 eV for the cell shown
Space group ... P4/mmm (123)
E above lowest polymorph ... 1.97 kcal/mol of atoms

Cell: 5.829 5.829 4.001 Å, 90.00 90.00 90.00°
Fractional positions:
Ba1 0.000 0.500 0.000
Ba2 0.500 0.000 0.000
Li1 0.000 0.000 0.500
Cu1 0.500 0.500 0.500
H1 0.500 0.500 0.000

=====

10.
Computed, not measured: a relaxed Ba2LiCuH crystal at the PBE level of DFT.

## Properties
Density ... 4.3 g/cm³
DFT total energy ... -13.64 eV for the cell shown
Space group ... P4/mmm (123)
E above lowest polymorph ... 0.00 kcal/mol of atoms

Cell: 5.675 5.675 4.148 Å, 90.00 90.00 90.00°
Fractional positions:
Ba1 0.000 0.500 0.000
Ba2 0.500 0.000 0.000
Li1 0.000 0.000 0.500
Cu1 0.500 0.500 0.500
H1 0.000 0.000 0.000

=====

11.
Computed, not measured: a relaxed Ba2MgCuH6 crystal at the PBE level of DFT.

## Properties
Density ... 4.6 g/cm³
DFT total energy ... -32.23 eV for the cell shown
Space group ... Fmmm (69)

Cell: 5.747 5.742 5.732 Å, 60.12 60.03 59.85°
Fractional positions:
Ba1 0.250 0.250 0.250
Ba2 0.750 0.750 0.750
Mg1 0.000 0.000 0.000
Cu1 0.500 0.500 0.500
H1 0.262 0.262 0.738
H2 0.263 0.737 0.263
H3 0.264 0.736 0.736
H4 0.736 0.264 0.264
H5 0.737 0.263 0.737
H6 0.738 0.738 0.262

=====

12.
Computed, not measured: a relaxed BaMgCu2H6 crystal at the PBE level of DFT.

## Properties
Density ... 4.1 g/cm³
DFT total energy ... -67.57 eV for the cell shown
Space group ... C2/c (15)

Cell: 6.713 6.713 5.505 Å, 99.58 99.58 98.14°
Fractional positions:
Ba1 0.175 0.825 0.750
Ba2 0.825 0.175 0.250
Mg1 0.414 0.586 0.250
Mg2 0.586 0.414 0.750
Cu1 0.150 0.324 0.822
Cu2 0.324 0.150 0.322
Cu3 0.676 0.850 0.678
Cu4 0.850 0.676 0.178
H1 0.076 0.608 0.265
H2 0.174 0.187 0.053
H3 0.187 0.174 0.553
H4 0.333 0.522 0.893
H5 0.392 0.924 0.235
H6 0.478 0.667 0.607
H7 0.522 0.333 0.393
H8 0.608 0.076 0.765
H9 0.667 0.478 0.107
H10 0.813 0.826 0.447
H11 0.826 0.813 0.947
H12 0.924 0.392 0.735